1.
VASP calculation (PBE) on a geometry-optimized ThSiPRh6 structure.

Calculated values
The total magnetization is 0.0 μB per cell. The crystal system is orthorhombic. For the energy relative to the elements, uncorrected, the calculation gives -40.4 kJ per mole of atoms.

abc: 6.805 8.542 11.010
angles: 90.00 90.00 90.00
Space group Imma (No. 74)
Asymmetric unit:
1 Th 0.000 0.250 0.166 (multiplicity 4)
2 Si 0.250 0.250 0.750 (multiplicity 4)
3 P 0.000 0.000 0.500 (multiplicity 4)
4 Rh 0.000 0.250 0.424 (multiplicity 4)
5 Rh 0.000 0.250 0.896 (multiplicity 4)
6 Rh 0.244 0.011 0.872 (multiplicity 16)

***

2.
VASP calculation (PBE) on a geometry-optimized Tm3SiP2Rh9 structure.

Calculated values
The total magnetization is 0.0 μB per cell. The crystal system is trigonal. For the energy relative to the elements, uncorrected, the calculation gives -69.2 kJ per mole of atoms.

abc: 6.0979 6.0979 8.3694
angles: 90.00 90.00 120.00
Space group P-3m1 (No. 164)
Asymmetric unit:
1 Tm 0.0000 0.0000 0.0000 (multiplicity 1)
2 Tm 0.3333 0.6667 0.6932 (multiplicity 2)
3 Si 0.0000 0.0000 0.5000 (multiplicity 1)
4 P 0.3333 0.6667 0.1724 (multiplicity 2)
5 Rh 0.0000 0.5000 0.0000 (multiplicity 3)
6 Rh 0.1499 0.2998 0.2900 (multiplicity 6)

***

3.
VASP calculation (PBE) on a geometry-optimized Y2SiPRh6 structure.

Calculated values
The total magnetization is 0.0 μB per cell. The crystal system is orthorhombic. For the energy relative to the elements, uncorrected, the calculation gives -69.3 kJ per mole of atoms.

abc: 5.787 8.595 7.175
angles: 90.00 90.00 90.00
Space group Pmmn (No. 59, origin choice 2)
Asymmetric unit:
1 Y 0.250 0.022 0.227 (multiplicity 4)
2 Si 0.250 0.750 0.781 (multiplicity 2)
3 P 0.250 0.250 0.732 (multiplicity 2)
4 Rh 0.010 0.750 0.042 (multiplicity 4)
5 Rh 0.014 0.750 0.498 (multiplicity 4)
6 Rh 0.250 0.502 0.639 (multiplicity 4)

***

4.
VASP calculation (PBE) on a geometry-optimized Y3SiP2Rh9 structure.

Calculated values
The total magnetization is 0.0 μB per cell. The crystal system is trigonal. For the energy relative to the elements, uncorrected, the calculation gives -68.6 kJ per mole of atoms.

abc: 6.1125 6.1125 8.3740
angles: 90.00 90.00 120.00
Space group P-3m1 (No. 164)
Asymmetric unit:
1 Y 0.0000 0.0000 0.0000 (multiplicity 1)
2 Y 0.3333 0.6667 0.6719 (multiplicity 2)
3 Si 0.0000 0.0000 0.5000 (multiplicity 1)
4 P 0.3333 0.6667 0.1707 (multiplicity 2)
5 Rh 0.0000 0.5000 0.0000 (multiplicity 3)
6 Rh 0.1513 0.3027 0.2934 (multiplicity 6)

***

5.
VASP calculation (PBE) on a geometry-optimized SmPRh3 structure.

Calculated values
The total magnetization is 0.0 μB per cell. The crystal system is cubic. The energy above the most stable polymorph in this dataset comes out at 204.7 meV/atom.

abc: 4.477 4.477 4.477
angles: 90.00 90.00 90.00
Space group Pm-3m (No. 221)
Asymmetric unit:
1 Sm 0.000 0.000 0.000 (multiplicity 1)
2 P 0.500 0.500 0.500 (multiplicity 1)
3 Rh 0.000 0.500 0.500 (multiplicity 3)

***

6.
VASP calculation (PBE) on a geometry-optimized Sm3P4Rh2 structure.

Calculated values
The total magnetization is 0.0 μB per cell. The crystal system is monoclinic. The calculated total energy is -60.950 eV per formula unit.

abc: 11.683 4.060 8.489
angles: 90.00 117.68 90.00
Space group C2/m (No. 12)
Asymmetric unit:
1 Sm 0.000 0.000 0.000 (multiplicity 2)
2 Sm 0.132 0.500 0.724 (multiplicity 4)
3 P 0.090 0.000 0.395 (multiplicity 4)
4 P 0.189 0.500 0.100 (multiplicity 4)
5 Rh 0.183 0.500 0.376 (multiplicity 4)